[1]
DFT (PBE-GGA) results for TbCd2Pd2 after structural relaxation.

Values from the calculation:
Total magnetization in μB per cell: 0.0
Calculated volume in A^3/atom: 21.92
Formation enthalpy at 0 K in eV per atom: -0.542
Energy in eV/atom: -3.91

a = 4.7703 Å, b = 4.7703 Å, c = 5.5570 Å
α = 90.19°, β = 90.19°, γ = 60.07°
Positions (direct):
Tb 0.0000 0.0000 0.0000
Cd 0.3326 0.3326 0.6387
Cd 0.6674 0.6674 0.3613
Pd 0.3339 0.3339 0.1457
Pd 0.6661 0.6661 0.8543

[2]
DFT (PBE-GGA) results for TbCd9Pd2 after structural relaxation.

Values from the calculation:
Total magnetization in μB per cell: 0.0
Calculated volume in A^3/atom: 21.46
Formation enthalpy at 0 K in eV per atom: -0.214
Energy in eV/atom: -2.15

a = 9.0910 Å, b = 9.0910 Å, c = 9.0910 Å
α = 99.85°, β = 99.85°, γ = 131.15°
Positions (direct):
Tb 0.3750 0.6250 0.7500
Tb 0.6250 0.3750 0.2500
Cd 0.1242 0.5561 0.3273
Cd 0.1242 0.7969 0.5681
Cd 0.1250 0.8750 0.2500
Cd 0.2031 0.2712 0.3273
Cd 0.2031 0.8758 0.9319
Cd 0.2712 0.2031 0.8273
Cd 0.2712 0.4439 0.0681
Cd 0.4439 0.2712 0.5681
Cd 0.4439 0.8758 0.1727
Cd 0.5561 0.1242 0.8273
Cd 0.5561 0.7288 0.4319
Cd 0.7288 0.5561 0.9319
Cd 0.7288 0.7969 0.1727
Cd 0.7969 0.1242 0.0681
Cd 0.7969 0.7288 0.6727
Cd 0.8750 0.1250 0.7500
Cd 0.8758 0.2031 0.4319
Cd 0.8758 0.4439 0.6727
Pd 0.0000 0.0000 0.0000
Pd 0.0000 0.0000 0.5000
Pd 0.0000 0.5000 0.0000
Pd 0.5000 0.0000 0.5000

[3]
DFT (PBE-GGA) results for TbCdPd after structural relaxation.

Values from the calculation:
Total magnetization in μB per cell: 0.0
Calculated volume in A^3/atom: 22.09
Formation enthalpy at 0 K in eV per atom: -0.695
Energy in eV/atom: -4.27

a = 7.6284 Å, b = 7.6284 Å, c = 3.9441 Å
α = 90.00°, β = 90.00°, γ = 120.00°
Positions (direct):
Tb 0.0000 0.4047 0.0000
Tb 0.4047 0.0000 0.0000
Tb 0.5953 0.5953 0.0000
Cd 0.0000 0.7428 0.5000
Cd 0.2572 0.2572 0.5000
Cd 0.7428 0.0000 0.5000
Pd 0.0000 0.0000 0.0000
Pd 0.3333 0.6667 0.5000
Pd 0.6667 0.3333 0.5000

[4]
DFT (PBE-GGA) results for Tb3CdPd5 after structural relaxation.

Values from the calculation:
Total magnetization in μB per cell: 0.0
Calculated volume in A^3/atom: 20.20
Formation enthalpy at 0 K in eV per atom: -0.792
Energy in eV/atom: -5.32

a = 8.5032 Å, b = 8.5032 Å, c = 5.8059 Å
α = 90.00°, β = 90.00°, γ = 120.00°
Positions (direct):
Tb 0.0000 0.3621 0.2500
Tb 0.0000 0.6379 0.7500
Tb 0.3621 0.0000 0.2500
Tb 0.3621 0.3621 0.7500
Tb 0.6379 0.0000 0.7500
Tb 0.6379 0.6379 0.2500
Cd 0.0000 0.0000 0.0000
Cd 0.0000 0.0000 0.5000
Pd 0.0000 0.3078 0.7500
Pd 0.0000 0.6922 0.2500
Pd 0.3078 0.0000 0.7500
Pd 0.3078 0.3078 0.2500
Pd 0.3333 0.6667 0.0000
Pd 0.3333 0.6667 0.5000
Pd 0.6667 0.3333 0.0000
Pd 0.6667 0.3333 0.5000
Pd 0.6922 0.0000 0.2500
Pd 0.6922 0.6922 0.7500

[5]
DFT (PBE-GGA) results for Tb3Cd3Pd2 after structural relaxation.

Values from the calculation:
Total magnetization in μB per cell: 0.0
Calculated volume in A^3/atom: 23.56
Formation enthalpy at 0 K in eV per atom: -0.629
Energy in eV/atom: -4.01

a = 7.6173 Å, b = 7.6173 Å, c = 3.7502 Å
α = 90.00°, β = 90.00°, γ = 120.00°
Positions (direct):
Tb 0.0000 0.5829 0.0000
Tb 0.4171 0.4171 0.0000
Tb 0.5829 0.0000 0.0000
Cd 0.0000 0.2295 0.5000
Cd 0.2295 0.0000 0.5000
Cd 0.7705 0.7705 0.5000
Pd 0.3333 0.6667 0.5000
Pd 0.6667 0.3333 0.5000

[6]
DFT (PBE-GGA) results for TbCdPd after structural relaxation.

Values from the calculation:
Total magnetization in μB per cell: 0.0
Calculated volume in A^3/atom: 21.85
Formation enthalpy at 0 K in eV per atom: -0.643
Energy in eV/atom: -4.22

a = 5.0792 Å, b = 5.0792 Å, c = 5.8666 Å
α = 90.00°, β = 90.00°, γ = 120.00°
Positions (direct):
Tb 0.3333 0.6667 0.2500
Tb 0.6667 0.3333 0.7500
Cd 0.0000 0.0000 0.0000
Cd 0.0000 0.0000 0.5000
Pd 0.3333 0.6667 0.7500
Pd 0.6667 0.3333 0.2500

[7]
DFT (PBE-GGA) results for TbCd2Pd4 after structural relaxation.

Values from the calculation:
Total magnetization in μB per cell: 0.0
Calculated volume in A^3/atom: 18.35
Formation enthalpy at 0 K in eV per atom: -0.540
Energy in eV/atom: -4.43

a = 5.8535 Å, b = 6.7952 Å, c = 7.2486 Å
α = 111.77°, β = 92.92°, γ = 103.76°
Positions (direct):
Tb 0.0000 0.0000 0.0000
Tb 0.2061 0.5275 0.8475
Cd 0.2594 0.8172 0.3141
Cd 0.3867 0.1051 0.7374
Cd 0.6520 0.2988 0.4466
Cd 0.7538 0.8083 0.2992
Pd 0.0028 0.7013 0.5911
Pd 0.1409 0.2550 0.4264
Pd 0.4035 0.4004 0.1540
Pd 0.5005 0.6926 0.6024
Pd 0.5143 0.9810 0.0468
Pd 0.7088 0.5440 0.8759
Pd 0.8586 0.1160 0.6952
Pd 0.9040 0.4030 0.1452

[8]
DFT (PBE-GGA) results for Tb6CdPd2 after structural relaxation.

Values from the calculation:
Total magnetization in μB per cell: 0.0
Calculated volume in A^3/atom: 27.01
Formation enthalpy at 0 K in eV per atom: -0.481
Energy in eV/atom: -4.82

a = 8.5936 Å, b = 8.5936 Å, c = 8.5936 Å
α = 112.97°, β = 110.52°, γ = 105.02°
Positions (direct):
Tb 0.0420 0.2379 0.8041
Tb 0.1824 0.2886 0.4710
Tb 0.1824 0.7114 0.8938
Tb 0.3261 0.0258 0.6997
Tb 0.3261 0.6264 0.3003
Tb 0.4338 0.2379 0.1959
Tb 0.5662 0.7621 0.8041
Tb 0.6739 0.3736 0.6997
Tb 0.6739 0.9742 0.3003
Tb 0.8176 0.2886 0.1062
Tb 0.8176 0.7114 0.5290
Tb 0.9580 0.7621 0.1959
Cd 0.0000 0.0000 0.0000
Cd 0.5000 0.5000 0.0000
Pd 0.1322 0.6322 0.5000
Pd 0.3444 0.0000 0.3444
Pd 0.6556 0.0000 0.6556
Pd 0.8678 0.3678 0.5000

[9]
DFT (PBE-GGA) results for Tb4CdPd5 after structural relaxation.

Values from the calculation:
Total magnetization in μB per cell: 0.0
Calculated volume in A^3/atom: 20.99
Formation enthalpy at 0 K in eV per atom: -0.789
Energy in eV/atom: -5.33

a = 3.5144 Å, b = 3.5144 Å, c = 16.9980 Å
α = 90.00°, β = 90.00°, γ = 90.00°
Positions (direct):
Tb 0.0000 0.0000 0.1044
Tb 0.0000 0.0000 0.3137
Tb 0.0000 0.0000 0.6863
Tb 0.0000 0.0000 0.8956
Cd 0.0000 0.0000 0.5000
Pd 0.5000 0.5000 0.0000
Pd 0.5000 0.5000 0.2094
Pd 0.5000 0.5000 0.4103
Pd 0.5000 0.5000 0.5897
Pd 0.5000 0.5000 0.7906

[10]
DFT (PBE-GGA) results for TbCd2Pd after structural relaxation.

Values from the calculation:
Total magnetization in μB per cell: 0.0
Calculated volume in A^3/atom: 21.18
Formation enthalpy at 0 K in eV per atom: -0.368
Energy in eV/atom: -3.28

a = 4.9296 Å, b = 4.9296 Å, c = 4.9296 Å
α = 60.00°, β = 60.00°, γ = 60.00°
Positions (direct):
Tb 0.0000 0.0000 0.0000
Cd 0.2500 0.2500 0.2500
Cd 0.7500 0.7500 0.7500
Pd 0.5000 0.5000 0.5000

[11]
DFT (PBE-GGA) results for Tb4CdPd after structural relaxation.

Values from the calculation:
Total magnetization in μB per cell: 0.0
Calculated volume in A^3/atom: 27.13
Formation enthalpy at 0 K in eV per atom: -0.445
Energy in eV/atom: -4.55

a = 9.7288 Å, b = 9.7288 Å, c = 9.7288 Å
α = 60.00°, β = 60.00°, γ = 60.00°
Positions (direct):
Tb 0.0597 0.0597 0.4403
Tb 0.0597 0.4403 0.0597
Tb 0.0597 0.4403 0.4403
Tb 0.1844 0.1844 0.8156
Tb 0.1844 0.8156 0.1844
Tb 0.1844 0.8156 0.8156
Tb 0.1895 0.6035 0.6035
Tb 0.4403 0.0597 0.0597
Tb 0.4403 0.0597 0.4403
Tb 0.4403 0.4403 0.0597
Tb 0.6035 0.1895 0.6035
Tb 0.6035 0.6035 0.1895
Tb 0.6035 0.6035 0.6035
Tb 0.8156 0.1844 0.1844
Tb 0.8156 0.1844 0.8156
Tb 0.8156 0.8156 0.1844
Cd 0.5042 0.8319 0.8319
Cd 0.8319 0.5042 0.8319
Cd 0.8319 0.8319 0.5042
Cd 0.8319 0.8319 0.8319
Pd 0.3945 0.3945 0.3945
Pd 0.3945 0.3945 0.8166
Pd 0.3945 0.8166 0.3945
Pd 0.8166 0.3945 0.3945

[12]
DFT (PBE-GGA) results for Tb2Cd2Pd3 after structural relaxation.

Values from the calculation:
Total magnetization in μB per cell: 0.0
Calculated volume in A^3/atom: 21.21
Formation enthalpy at 0 K in eV per atom: -0.691
Energy in eV/atom: -4.50

a = 5.3749 Å, b = 5.3749 Å, c = 7.3443 Å
α = 104.48°, β = 104.48°, γ = 46.64°
Positions (direct):
Tb 0.1278 0.1278 0.3078
Tb 0.8722 0.8722 0.6922
Cd 0.3741 0.3741 0.0678
Cd 0.6259 0.6259 0.9322
Pd 0.1711 0.1711 0.7078
Pd 0.5000 0.5000 0.5000
Pd 0.8289 0.8289 0.2922